[1]
The following is a DFT calculation (PBE-GGA) of a relaxed structure of NaLi6Br8.

Cell: 7.8462 7.8462 7.8462 Å, 60.00 60.00 60.00°
Fractional coordinates of all 15 atoms:
Br  0.2567  0.7433  0.7433
Br  0.7433  0.2567  0.7433
Br  0.7433  0.2567  0.2567
Br  0.2567  0.7433  0.2567
Br  0.2567  0.2567  0.7433
Br  0.7433  0.7433  0.2567
Br  0.7500  0.7500  0.7500
Br  0.2500  0.2500  0.2500
Li  0.0000  0.5000  0.5000
Li  0.5000  0.0000  0.5000
Li  0.0000  0.5000  0.0000
Li  0.0000  0.0000  0.5000
Li  0.5000  0.0000  0.0000
Li  0.5000  0.5000  0.0000
Na  0.0000  0.0000  0.0000

Summary:
Space-group type   Fm-3m, No. 225
Crystal system   cubic
Raw formation energy   -1.344 eV/atom

[2]
The following is a DFT calculation (PBE-GGA) of a relaxed structure of Cs2RbAs2.

Cell: 7.2710 7.2602 9.9281 Å, 100.85 90.00 120.05°
Last column: magnetic moment on the atom in μB.
Fractional coordinates of all 10 atoms:
As  0.3386  0.3326  0.5076  0.18
As  0.6614  0.6674  0.4924  0.18
As  0.9940  0.3326  0.0076  0.18
As  0.0060  0.6674  0.9924  0.18
Cs  0.2006  0.6986  0.3560  0.01
Cs  0.5020  0.3014  0.1440  0.01
Cs  0.4980  0.6986  0.8560  0.01
Cs  0.7994  0.3014  0.6440  0.01
Rb  0.0969  0.0000  0.7500  0.01
Rb  0.9031  0.0000  0.2500  0.01

Summary:
Energy above the lowest structure with this stoichiometry   0 meV per atom
Space-group type   C2/c, No. 15
Crystal system   monoclinic

[3]
The following is a DFT calculation (PBE-GGA) of a relaxed structure of MgTaRe.

Cell: 5.3330 5.3330 5.3330 Å, 143.58 143.58 52.46°
Fractional coordinates of all 3 atoms:
Mg  0.9939  0.9939  0.0000
Re  0.3164  0.3164  0.0000
Ta  0.6896  0.6896  0.0000

Summary:
Energy above the lowest structure with this stoichiometry   46 meV per atom
Space-group type   I4mm, No. 107
Crystal system   tetragonal

[4]
The following is a DFT calculation (PBE-GGA) of a relaxed structure of HfNpAs2.

Cell: 3.8109 3.8109 7.3840 Å, 75.05 75.05 60.00°
Last column: magnetic moment on the atom in μB.
Fractional coordinates of all 4 atoms:
As  0.2578  0.2578  0.2265  -0.06
As  0.0759  0.0759  0.7723  -0.05
Np  0.4973  0.4973  0.5082  3.91
Hf  0.6690  0.6690  0.9930  0.01

Summary:
Energy above the lowest structure with this stoichiometry   71 meV per atom
Space-group type   R3m, No. 160
Crystal system   trigonal

[5]
The following is a DFT calculation (PBE-GGA) of a relaxed structure of Ho8CoSb2.

Cell: 4.5081 7.2918 9.6173 Å, 96.60 103.55 90.00°
Fractional coordinates of all 11 atoms:
Ho  0.9990  0.2192  0.9979
Ho  0.0010  0.7808  0.0021
Ho  0.3638  0.9643  0.7276
Ho  0.2149  0.3460  0.4298
Ho  0.6362  0.0357  0.2724
Ho  0.4054  0.4825  0.8108
Ho  0.7851  0.6540  0.5702
Ho  0.5946  0.5175  0.1892
Co  0.5000  0.0000  0.0000
Sb  0.8183  0.2273  0.6366
Sb  0.1817  0.7727  0.3634

Summary:
Space-group type   C2/m, No. 12
Crystal system   monoclinic
Raw formation energy   -0.409 eV/atom

[6]
The following is a DFT calculation (PBE-GGA) of a relaxed structure of Cs4TeHCl.

Cell: 5.7111 5.7111 10.6769 Å, 105.51 105.51 90.00°
Fractional coordinates of all 7 atoms:
Cs  0.0062  0.5062  0.0124
Cs  0.5062  0.0062  0.0124
Cs  0.1847  0.1847  0.3694
Cs  0.8254  0.8254  0.6507
Te  0.6375  0.6375  0.2751
Cl  0.3660  0.3660  0.7321
H  0.9740  0.9740  0.9479

Summary:
Space-group type   I4mm, No. 107
Crystal system   tetragonal

Number 1: E_tot -3.090 eV/atom. Number 2: E_tot -2.745 eV/atom. Number 3: E_tot -8.526 eV/atom. Number 4: E_tot -8.851 eV/atom. Number 5: E_tot -5.134 eV/atom. Number 6: E_tot -2.684 eV/atom.